[1]
The following is a DFT calculation (PBE) of SrBeI2O after structural relaxation.

For the volume, the calculation gives 23.7 Å³/atom. The value obtained for the energy above the most stable polymorph in this dataset is 0.0 kJ per mole of atoms. The formation energy without anion corrections is -1.113 eV per atom.

It has space group P4/mmm (No. 123), with a = 5.894 Å, b = 5.894 Å, c = 3.407 Å, α = 90.00°, β = 90.00° and γ = 90.00°. The inequivalent atoms are Sr at (0.000, 0.000, 0.000), Be at (0.500, 0.500, 0.500), I at (0.000, 0.500, 0.500) and O at (0.500, 0.500, 0.000).

---

[2]
The following is a DFT calculation (PBE) of BeTcI2O after structural relaxation.

For the volume, the calculation gives 23.0 Å³/atom. The value obtained for the energy above the most stable polymorph in this dataset is 22.9 kJ per mole of atoms. The formation energy without anion corrections is 0.214 eV per atom.

It has space group P4/mmm (No. 123), with a = 5.547 Å, b = 5.547 Å, c = 3.740 Å, α = 90.00°, β = 90.00° and γ = 90.00°. The inequivalent atoms are Be at (0.000, 0.000, 0.000), Tc at (0.500, 0.500, 0.500), I at (0.000, 0.500, 0.500) and O at (0.500, 0.500, 0.000).

---

[3]
The following is a DFT calculation (PBE) of BeTcI2O after structural relaxation.

For the volume, the calculation gives 22.8 Å³/atom. The value obtained for the energy above the most stable polymorph in this dataset is 0.0 kJ per mole of atoms. The formation energy without anion corrections is -0.023 eV per atom.

It has space group P4/mmm (No. 123), with a = 6.214 Å, b = 6.214 Å, c = 2.958 Å, α = 90.00°, β = 90.00° and γ = 90.00°. The inequivalent atoms are Be at (0.000, 0.000, 0.000), Tc at (0.500, 0.500, 0.500), I at (0.000, 0.500, 0.000) and O at (0.000, 0.000, 0.500).

---

[4]
The following is a DFT calculation (PBE) of BeTe2IO after structural relaxation.

For the volume, the calculation gives 23.1 Å³/atom. The value obtained for the energy above the most stable polymorph in this dataset is 0.0 kJ per mole of atoms. The formation energy without anion corrections is 0.686 eV per atom.

It has space group P4/mmm (No. 123), with a = 4.791 Å, b = 4.791 Å, c = 5.039 Å, α = 90.00°, β = 90.00° and γ = 90.00°. The inequivalent atoms are Be at (0.000, 0.000, 0.000), Te at (0.000, 0.500, 0.500), I at (0.500, 0.500, 0.000) and O at (0.500, 0.500, 0.500).

---

Q: The highest formation energy without anion corrections belongs to which entry?
A: BeTe2IO

---

Q: Among the records above, which one has the highest energy above the most stable polymorph in this dataset?
A: number 2